A plane-wave DFT calculation with PBE was carried out for a relaxed Mn2AlRu crystal.

Lattice parameters (Å, degrees): 6.863 6.863 5.103 90.00 90.00 90.00
Space group I-42d (No. 122)
Inequivalent atoms, fractional coordinates:
Mn1 0.230 0.250 0.125 x8
Al1 0.000 0.000 0.500 x4
Ru1 0.000 0.000 0.000 x4

energy relative to the elements	0.416	eV/atom
VASP energy	-7.4233	eV/atom

=====

A plane-wave DFT calculation with PBE was carried out for a relaxed BaTeNCl2 crystal.

Lattice parameters (Å, degrees): 6.063 6.063 4.902 90.00 90.00 90.00
Space group P4/mmm (No. 123)
Inequivalent atoms, fractional coordinates:
Ba1 0.000 0.000 0.000 x1
Te1 0.500 0.500 0.500 x1
N1 0.000 0.000 0.500 x1
Cl1 0.000 0.500 0.000 x2

distance to the lowest polymorph of the same formula	0.000	eV per formula unit
formation energy from raw total energies	14.0	kJ/mol of atoms
VASP energy	-3.2720	eV/atom

=====

A plane-wave DFT calculation with PBE was carried out for a relaxed SrCd9Pb2 crystal.

Lattice parameters (Å, degrees): 6.1165 6.1165 28.7097 90.00 90.00 120.00
Space group R-3m (No. 166, hexagonal axes)
Inequivalent atoms, fractional coordinates:
Sr1 0.0000 0.0000 0.0000 x3
Cd1 0.0000 0.0000 0.3336 x6
Cd2 0.0000 0.0000 0.5000 x3
Cd3 0.0049 0.5025 0.9156 x18
Pb1 0.0000 0.0000 0.1383 x6

energy relative to the elements	-0.101	eV/atom
VASP energy	-1.5451	eV/atom

=====

A plane-wave DFT calculation with PBE was carried out for a relaxed PaSiRh2 crystal.

Lattice parameters (Å, degrees): 4.0776 4.0776 14.6896 90.00 90.00 120.00
Space group R-3m (No. 166, hexagonal axes)
Inequivalent atoms, fractional coordinates:
Pa1 0.0000 0.0000 0.0000 x3
Si1 0.0000 0.0000 0.5000 x3
Rh1 0.0000 0.0000 0.2201 x6

formation energy from raw total energies	-84.0	kJ/mol of atoms
VASP energy	-8.2759	eV/atom

=====

A plane-wave DFT calculation with PBE was carried out for a relaxed U2SiH crystal.

Lattice parameters (Å, degrees): 2.8975 2.8975 25.0988 90.00 90.00 120.00
Space group R-3m (No. 166, hexagonal axes)
Inequivalent atoms, fractional coordinates:
U1 0.0000 0.0000 0.2334 x6
Si1 0.0000 0.0000 0.0000 x3
H1 0.0000 0.0000 0.5000 x3

VASP energy	-7.8273	eV/atom

=====

A plane-wave DFT calculation with PBE was carried out for a relaxed Zn4SnF8 crystal.

Lattice parameters (Å, degrees): 9.462 9.462 9.462 90.00 90.00 90.00
Space group F-43m (No. 216)
Inequivalent atoms, fractional coordinates:
Zn1 0.121 0.121 0.121 x16
Sn1 0.000 0.000 0.500 x4
F1 0.104 0.104 0.896 x16
F2 0.147 0.147 0.353 x16

formation energy from raw total energies	-179.7	kJ/mol of atoms
VASP energy	-3.7141	eV/atom

=====

A plane-wave DFT calculation with PBE was carried out for a relaxed Pa2AlGaN5 crystal.

Lattice parameters (Å, degrees): 3.277 13.534 9.626 90.00 90.00 90.00
Space group Cmc2_1 (No. 36)
Inequivalent atoms, fractional coordinates:
Pa1 0.000 0.126 0.000 x4
Pa2 0.000 0.134 0.582 x4
Al1 0.000 0.218 0.295 x4
Ga1 0.000 0.482 0.773 x4
N1 0.000 0.074 0.329 x4
N2 0.000 0.285 0.946 x4
N3 0.000 0.292 0.655 x4
N4 0.000 0.366 0.303 x4
N5 0.000 0.499 0.566 x4

formation energy from raw total energies	-106.9	kJ/mol of atoms
VASP energy	-8.5950	eV/atom

=====

A plane-wave DFT calculation with PBE was carried out for a relaxed LaSmY6Ho2 crystal.

Lattice parameters (Å, degrees): 9.261 15.087 9.558 90.00 96.15 90.00
Space group C2/c (No. 15)
Inequivalent atoms, fractional coordinates:
La1 0.000 0.032 0.250 x4
Sm1 0.000 0.411 0.750 x4
Y1 0.064 0.182 0.942 x8
Y2 0.095 0.389 0.113 x8
Y3 0.213 0.227 0.320 x8
Ho1 0.249 0.052 0.552 x8

energy relative to the elements	0.120	eV/atom
VASP energy	-5.6384	eV/atom

=====

A plane-wave DFT calculation with PBE was carried out for a relaxed Ac5PmHo crystal.

Lattice parameters (Å, degrees): 6.967 24.501 7.182 90.00 103.36 90.00
Space group C2/c (No. 15)
Inequivalent atoms, fractional coordinates:
Ac1 0.000 0.137 0.250 x4
Ac2 0.029 0.297 0.502 x8
Ac3 0.235 0.047 0.660 x8
Pm1 0.000 0.170 0.750 x4
Ho1 0.000 0.420 0.750 x4

energy relative to the elements	0.230	eV/atom
VASP energy	-4.0372	eV/atom

=====

A plane-wave DFT calculation with PBE was carried out for a relaxed Zn2GaTc crystal.

Lattice parameters (Å, degrees): 3.621 3.621 8.826 90.00 90.00 90.00
Space group I4/mmm (No. 139)
Inequivalent atoms, fractional coordinates:
Zn1 0.000 0.500 0.250 x4
Ga1 0.000 0.000 0.000 x2
Tc1 0.000 0.000 0.500 x2

energy relative to the elements	-0.085	eV/atom
VASP energy	-4.0703	eV/atom

=====

A plane-wave DFT calculation with PBE was carried out for a relaxed Pr6GaTe12 crystal.

Lattice parameters (Å, degrees): 13.5090 13.5090 13.1780 90.00 90.00 120.00
Space group R-3 (No. 148, hexagonal axes)
Inequivalent atoms, fractional coordinates:
Pr1 0.0458 0.2798 0.1300 x18
Ga1 0.0000 0.0000 0.5000 x3
Te1 0.0325 0.2103 0.8947 x18
Te2 0.0850 0.2146 0.3767 x18

formation energy from raw total energies	-105.1	kJ/mol of atoms
VASP energy	-4.7421	eV/atom

=====

A plane-wave DFT calculation with PBE was carried out for a relaxed KMoH2Br8 crystal.

Lattice parameters (Å, degrees): 6.803 7.402 9.096 67.27 75.24 73.40
Space group P-1 (No. 2)
Inequivalent atoms, fractional coordinates:
K1 0.000 0.000 0.000 x1
Mo1 0.000 0.500 0.500 x1
H1 0.439 0.253 0.224 x2
Br1 0.055 0.479 0.770 x2
Br2 0.112 0.829 0.376 x2
Br3 0.374 0.320 0.450 x2
Br4 0.483 0.205 0.073 x2

VASP energy	-3.2558	eV/atom